# 1
Entry from Alexandria via LeMat-Bulk: a relaxed structure of KAsBr2N (GGA-PBE).

CIF file:
```
data_KAsBr2N
_chemical_formula_sum 'K1 As1 Br2 N1'
_cell_length_a 6.131
_cell_length_b 6.131
_cell_length_c 3.702
_cell_angle_alpha 90.00
_cell_angle_beta 90.00
_cell_angle_gamma 90.00
_symmetry_space_group_name_H-M 'P 1'
_symmetry_Int_Tables_number 1
loop_
_symmetry_equiv_pos_as_xyz
'x,y,z'
loop_
_atom_site_label
_atom_site_type_symbol
_atom_site_fract_x
_atom_site_fract_y
_atom_site_fract_z
K1 K 0.000 0.000 0.000
As1 As 0.500 0.500 0.000
Br1 Br 0.000 0.500 0.500
Br2 Br 0.500 0.000 0.500
N1 N 0.500 0.500 0.500
```

## Properties
Magnetization   0.000 μB per atom
Excess energy over the best structure of this formula in the dataset   0 meV per atom

***

# 2
Entry from Alexandria via LeMat-Bulk: a relaxed structure of KAsBr2N (GGA-PBE).

CIF file:
```
data_KAsBr2N
_chemical_formula_sum 'K1 As1 Br2 N1'
_cell_length_a 6.306
_cell_length_b 6.306
_cell_length_c 7.442
_cell_angle_alpha 90.00
_cell_angle_beta 90.00
_cell_angle_gamma 90.00
_symmetry_space_group_name_H-M 'P 1'
_symmetry_Int_Tables_number 1
loop_
_symmetry_equiv_pos_as_xyz
'x,y,z'
loop_
_atom_site_label
_atom_site_type_symbol
_atom_site_fract_x
_atom_site_fract_y
_atom_site_fract_z
K1 K 0.000 0.000 0.000
As1 As 0.000 0.000 0.500
Br1 Br 0.000 0.500 0.000
Br2 Br 0.500 0.000 0.000
N1 N 0.500 0.500 0.500
```

## Properties
Magnetization   1.333 μB per atom
Excess energy over the best structure of this formula in the dataset   1069 meV per atom

***

# 3
Entry from Alexandria via LeMat-Bulk: a relaxed structure of KNaAs2Br (GGA-PBE).

CIF file:
```
data_KNaAs2Br
_chemical_formula_sum 'K1 Na1 As2 Br1'
_cell_length_a 5.279
_cell_length_b 5.279
_cell_length_c 6.006
_cell_angle_alpha 90.00
_cell_angle_beta 90.00
_cell_angle_gamma 90.00
_symmetry_space_group_name_H-M 'P 1'
_symmetry_Int_Tables_number 1
loop_
_symmetry_equiv_pos_as_xyz
'x,y,z'
loop_
_atom_site_label
_atom_site_type_symbol
_atom_site_fract_x
_atom_site_fract_y
_atom_site_fract_z
K1 K 0.000 0.000 0.000
Na1 Na 0.500 0.500 0.500
As1 As 0.000 0.500 0.500
As2 As 0.500 0.000 0.500
Br1 Br 0.500 0.500 0.000
```

## Properties
Magnetization   0.437 μB per atom
Excess energy over the best structure of this formula in the dataset   0 meV per atom

***

# 4
Entry from Alexandria via LeMat-Bulk: a relaxed structure of KNaAs2Br (GGA-PBE).

CIF file:
```
data_KNaAs2Br
_chemical_formula_sum 'K1 Na1 As2 Br1'
_cell_length_a 6.329
_cell_length_b 6.329
_cell_length_c 6.069
_cell_angle_alpha 90.00
_cell_angle_beta 90.00
_cell_angle_gamma 90.00
_symmetry_space_group_name_H-M 'P 1'
_symmetry_Int_Tables_number 1
loop_
_symmetry_equiv_pos_as_xyz
'x,y,z'
loop_
_atom_site_label
_atom_site_type_symbol
_atom_site_fract_x
_atom_site_fract_y
_atom_site_fract_z
K1 K 0.000 0.000 0.000
Na1 Na 0.500 0.500 0.500
As1 As 0.000 0.500 0.000
As2 As 0.500 0.000 0.000
Br1 Br 0.000 0.000 0.500
```

## Properties
Magnetization   1.002 μB per atom
Excess energy over the best structure of this formula in the dataset   354 meV per atom

***

# 5
Entry from Alexandria via LeMat-Bulk: a relaxed structure of KNbAs2Br (GGA-PBE).

CIF file:
```
data_KNbAs2Br
_chemical_formula_sum 'K1 Nb1 As2 Br1'
_cell_length_a 5.359
_cell_length_b 5.359
_cell_length_c 5.466
_cell_angle_alpha 90.00
_cell_angle_beta 90.00
_cell_angle_gamma 90.00
_symmetry_space_group_name_H-M 'P 1'
_symmetry_Int_Tables_number 1
loop_
_symmetry_equiv_pos_as_xyz
'x,y,z'
loop_
_atom_site_label
_atom_site_type_symbol
_atom_site_fract_x
_atom_site_fract_y
_atom_site_fract_z
K1 K 0.000 0.000 0.000
Nb1 Nb 0.500 0.500 0.500
As1 As 0.000 0.500 0.000
As2 As 0.500 0.000 0.000
Br1 Br 0.000 0.000 0.500
```

## Properties
Magnetization   0.281 μB per atom
Excess energy over the best structure of this formula in the dataset   1947 meV per atom

***

# 6
Entry from Alexandria via LeMat-Bulk: a relaxed structure of KNbAs2Br (GGA-PBE).

CIF file:
```
data_KNbAs2Br
_chemical_formula_sum 'K1 Nb1 As2 Br1'
_cell_length_a 5.001
_cell_length_b 5.001
_cell_length_c 5.682
_cell_angle_alpha 90.00
_cell_angle_beta 90.00
_cell_angle_gamma 90.00
_symmetry_space_group_name_H-M 'P 1'
_symmetry_Int_Tables_number 1
loop_
_symmetry_equiv_pos_as_xyz
'x,y,z'
loop_
_atom_site_label
_atom_site_type_symbol
_atom_site_fract_x
_atom_site_fract_y
_atom_site_fract_z
K1 K 0.000 0.000 0.000
Nb1 Nb 0.500 0.500 0.500
As1 As 0.000 0.500 0.500
As2 As 0.500 0.000 0.500
Br1 Br 0.500 0.500 0.000
```

## Properties
Magnetization   0.000 μB per atom
Excess energy over the best structure of this formula in the dataset   0 meV per atom

***

# 7
Entry from Alexandria via LeMat-Bulk: a relaxed structure of KNbAsBr2 (GGA-PBE).

CIF file:
```
data_KNbAsBr2
_chemical_formula_sum 'K1 Nb1 As1 Br2'
_cell_length_a 5.918
_cell_length_b 5.918
_cell_length_c 5.035
_cell_angle_alpha 90.00
_cell_angle_beta 90.00
_cell_angle_gamma 90.00
_symmetry_space_group_name_H-M 'P 1'
_symmetry_Int_Tables_number 1
loop_
_symmetry_equiv_pos_as_xyz
'x,y,z'
loop_
_atom_site_label
_atom_site_type_symbol
_atom_site_fract_x
_atom_site_fract_y
_atom_site_fract_z
K1 K 0.000 0.000 0.000
Nb1 Nb 0.500 0.500 0.000
As1 As 0.500 0.500 0.500
Br1 Br 0.000 0.500 0.500
Br2 Br 0.500 0.000 0.500
```

## Properties
Magnetization   0.667 μB per atom
Excess energy over the best structure of this formula in the dataset   712 meV per atom

***

# 8
Entry from Alexandria via LeMat-Bulk: a relaxed structure of KNbAsBr2 (GGA-PBE).

CIF file:
```
data_KNbAsBr2
_chemical_formula_sum 'K1 Nb1 As1 Br2'
_cell_length_a 5.703
_cell_length_b 5.703
_cell_length_c 5.910
_cell_angle_alpha 90.00
_cell_angle_beta 90.00
_cell_angle_gamma 90.00
_symmetry_space_group_name_H-M 'P 1'
_symmetry_Int_Tables_number 1
loop_
_symmetry_equiv_pos_as_xyz
'x,y,z'
loop_
_atom_site_label
_atom_site_type_symbol
_atom_site_fract_x
_atom_site_fract_y
_atom_site_fract_z
K1 K 0.000 0.000 0.000
Nb1 Nb 0.500 0.500 0.500
As1 As 0.000 0.000 0.500
Br1 Br 0.000 0.500 0.000
Br2 Br 0.500 0.000 0.000
```

## Properties
Magnetization   0.198 μB per atom
Excess energy over the best structure of this formula in the dataset   1566 meV per atom

***

# 9
Entry from Alexandria via LeMat-Bulk: a relaxed structure of KNbAsBr2 (GGA-PBE).

CIF file:
```
data_KNbAsBr2
_chemical_formula_sum 'K1 Nb1 As1 Br2'
_cell_length_a 5.399
_cell_length_b 5.399
_cell_length_c 5.014
_cell_angle_alpha 90.00
_cell_angle_beta 90.00
_cell_angle_gamma 90.00
_symmetry_space_group_name_H-M 'P 1'
_symmetry_Int_Tables_number 1
loop_
_symmetry_equiv_pos_as_xyz
'x,y,z'
loop_
_atom_site_label
_atom_site_type_symbol
_atom_site_fract_x
_atom_site_fract_y
_atom_site_fract_z
K1 K 0.000 0.000 0.000
Nb1 Nb 0.500 0.500 0.500
As1 As 0.500 0.500 0.000
Br1 Br 0.000 0.500 0.500
Br2 Br 0.500 0.000 0.500
```

## Properties
Magnetization   0.058 μB per atom
Excess energy over the best structure of this formula in the dataset   0 meV per atom

***

# 10
Entry from Alexandria via LeMat-Bulk: a relaxed structure of KNiAs2Br (GGA-PBE).

CIF file:
```
data_KNiAs2Br
_chemical_formula_sum 'K1 Ni1 As2 Br1'
_cell_length_a 4.444
_cell_length_b 4.444
_cell_length_c 9.043
_cell_angle_alpha 90.00
_cell_angle_beta 90.00
_cell_angle_gamma 90.00
_symmetry_space_group_name_H-M 'P 1'
_symmetry_Int_Tables_number 1
loop_
_symmetry_equiv_pos_as_xyz
'x,y,z'
loop_
_atom_site_label
_atom_site_type_symbol
_atom_site_fract_x
_atom_site_fract_y
_atom_site_fract_z
K1 K 0.000 0.000 0.000
Ni1 Ni 0.500 0.500 0.500
As1 As 0.000 0.500 0.500
As2 As 0.500 0.000 0.500
Br1 Br 0.500 0.500 0.000
```

## Properties
Magnetization   0.000 μB per atom
VASP energy   -3.854 eV per atom

***

# 11
Entry from Alexandria via LeMat-Bulk: a relaxed structure of KAsOsBr2 (GGA-PBE).

CIF file:
```
data_KAsOsBr2
_chemical_formula_sum 'K1 As1 Os1 Br2'
_cell_length_a 5.468
_cell_length_b 5.468
_cell_length_c 4.649
_cell_angle_alpha 90.00
_cell_angle_beta 90.00
_cell_angle_gamma 90.00
_symmetry_space_group_name_H-M 'P 1'
_symmetry_Int_Tables_number 1
loop_
_symmetry_equiv_pos_as_xyz
'x,y,z'
loop_
_atom_site_label
_atom_site_type_symbol
_atom_site_fract_x
_atom_site_fract_y
_atom_site_fract_z
K1 K 0.000 0.000 0.000
As1 As 0.500 0.500 0.000
Os1 Os 0.500 0.500 0.500
Br1 Br 0.000 0.500 0.500
Br2 Br 0.500 0.000 0.500
```

## Properties
Magnetization   0.008 μB per atom
Excess energy over the best structure of this formula in the dataset   0 meV per atom

***

# 12
Entry from Alexandria via LeMat-Bulk: a relaxed structure of KAs2OsBr (GGA-PBE).

CIF file:
```
data_KAs2OsBr
_chemical_formula_sum 'K1 As2 Os1 Br1'
_cell_length_a 4.734
_cell_length_b 4.734
_cell_length_c 6.083
_cell_angle_alpha 90.00
_cell_angle_beta 90.00
_cell_angle_gamma 90.00
_symmetry_space_group_name_H-M 'P 1'
_symmetry_Int_Tables_number 1
loop_
_symmetry_equiv_pos_as_xyz
'x,y,z'
loop_
_atom_site_label
_atom_site_type_symbol
_atom_site_fract_x
_atom_site_fract_y
_atom_site_fract_z
K1 K 0.000 0.000 0.000
As1 As 0.000 0.500 0.500
As2 As 0.500 0.000 0.500
Os1 Os 0.500 0.500 0.500
Br1 Br 0.500 0.500 0.000
```

## Properties
Magnetization   0.000 μB per atom
Excess energy over the best structure of this formula in the dataset   0 meV per atom